1.
8
Lattice="4.481 0.000 0.000 2.241 3.881 0.000 2.241 1.294 7.467" Properties=species:S:1:pos:R:3 comment="AlCu2GeAu4, optimized geometry, DFT PBE" e_form_mev_per_atom=-98 pbc="T T T"
Al 4.481 2.587 3.734
Cu 6.722 3.881 5.617
Cu 2.241 1.294 1.850
Ge 0.000 0.000 0.000
Au 4.481 2.587 6.428
Au 6.722 3.881 2.897
Au 2.241 1.294 4.570
Au 4.481 2.587 1.039



2.
4
Lattice="6.262 0.000 0.000 3.748 5.017 0.000 -5.005 -2.509 2.806" Properties=species:S:1:pos:R:3 comment="Y2OsCl, optimized geometry, DFT PBE" relative_energy_kcal_per_mol_atoms=16.24 raw_formation_energy_ev_per_atom=-0.176 pbc="T T T"
Cl 5.005 2.509 0.000
Os 3.131 0.000 1.403
Y 0.000 0.000 0.000
Y 1.874 2.509 1.403



3.
12
Lattice="5.834 0.000 0.000 2.917 4.839 -0.535 2.917 1.551 14.166" Properties=species:S:1:pos:R:3 comment="Pm5Sm3Er4, optimized geometry, DFT PBE" relative_energy_kcal_per_mol_atoms=4.77 e_form_mev_per_atom=222 pbc="T T T"
Pm 8.751 4.757 13.809
Pm 5.834 3.195 6.815
Pm 2.917 2.038 3.366
Pm 8.751 4.351 10.265
Pm 2.917 1.632 -0.179
Sm 5.834 2.806 10.441
Sm 2.917 3.195 6.815
Sm 5.834 3.583 3.189
Er 5.834 6.198 11.892
Er 5.834 5.839 8.626
Er 5.834 0.551 5.005
Er 5.834 0.192 1.738



4.
6
Lattice="4.463 0.000 0.000 2.232 8.473 1.070 2.232 3.288 6.818" Properties=species:S:1:pos:R:3 comment="PrTeCl, optimized geometry, DFT PBE" relative_energy_kcal_per_mol_atoms=2.54 raw_formation_energy_ev_per_atom=-1.727 pbc="T T T"
Pr 4.463 8.803 6.018
Pr 4.463 2.957 1.870
Cl 6.695 8.723 4.092
Cl 2.232 3.038 3.797
Te 4.463 5.745 6.564
Te 4.463 6.016 1.325



5.
4
Lattice="-0.208 0.825 -2.741 -0.242 -1.966 -2.076 -7.973 -0.126 -0.935" Properties=species:S:1:pos:R:3 comment="AlMo2N, optimized geometry, DFT PBE" relative_energy_kcal_per_mol_atoms=0.00 raw_formation_energy_ev_per_atom=0.130 pbc="T T T"
Mo -5.448 -0.208 -1.151
Mo -2.974 -1.059 -4.600
Al 0.000 0.000 0.000
N -4.211 -0.634 -2.876



6.
16
Lattice="4.466 0.000 0.000 0.000 6.585 0.000 0.000 0.000 13.153" Properties=species:S:1:pos:R:3 comment="Dy2Cd5Hg, optimized geometry, DFT PBE" relative_energy_kcal_per_mol_atoms=0.00 e_form_mev_per_atom=-260 pbc="T T T"
Dy 2.233 1.539 8.168
Dy 2.233 5.046 4.985
Dy 2.233 1.753 1.591
Dy 2.233 4.832 11.562
Cd 0.000 0.000 0.000
Cd 0.000 3.293 6.577
Cd 0.000 3.199 9.830
Cd 0.000 3.386 3.323
Cd 0.000 0.094 3.254
Cd 0.000 6.492 9.900
Cd 2.233 1.543 11.451
Cd 2.233 5.042 1.702
Cd 2.233 1.749 4.875
Cd 2.233 4.836 8.279
Hg 0.000 0.000 6.577
Hg 0.000 3.293 0.000



Result set for ρ: 12.97; 7.60; 7.57; 4.17; 6.90; 9.34 g/cm³, one per record in the order listed.